(1)
IrRhCl3 | PBE-GGA | optimized geometry

Cell: 4.812 4.812 4.812 Å, 90.00 90.00 90.00°
Sites, in units of the cell vectors:
Ir1 0.000 0.000 0.000
Rh1 0.500 0.500 0.500
Cl1 0.000 0.000 0.500
Cl2 0.000 0.500 0.000
Cl3 0.500 0.000 0.000

Computed properties:
symmetry = Pm-3m (221)
M_tot = 0.43 μB/atom
formation energy (no corrections) = 0.68 eV per atom



(2)
V3RuSe | PBE-GGA | optimized geometry

Cell: 4.636 4.636 4.636 Å, 90.00 90.00 90.00°
Sites, in units of the cell vectors:
V1 0.000 0.000 0.500
V2 0.000 0.500 0.000
V3 0.500 0.000 0.000
Ru1 0.000 0.000 0.000
Se1 0.500 0.500 0.500

Computed properties:
symmetry = Pm-3m (221)
M_tot = 0.99 μB/atom
formation energy (no corrections) = 0.92 eV per atom



(3)
TmRe2O8 | PBE-GGA | optimized geometry

Cell: 6.552 6.552 5.661 Å, 99.49 99.49 62.54°
Sites, in units of the cell vectors:
Tm1 0.000 0.000 0.000
Re1 0.188 0.188 0.662
Re2 0.812 0.812 0.338
O1 0.073 0.690 0.190
O2 0.136 0.136 0.342
O3 0.310 0.927 0.810
O4 0.345 0.345 0.746
O5 0.655 0.655 0.254
O6 0.690 0.073 0.190
O7 0.864 0.864 0.658
O8 0.927 0.310 0.810

Computed properties:
symmetry = C2/m (12)
M_tot = 0.09 μB/atom
formation energy (no corrections) = -1.90 eV per atom